Arrangement i

Entry from Alexandria via LeMat-Bulk: a geometry-optimized Sr2TaRe structure (PBE). Values from VASP.

Properties
Density of states at the Fermi level in states/eV/f.u.: 3.496
Crystal system: tetragonal

The structure in Quantum ESPRESSO input format:
```
&SYSTEM
  ibrav = 0, nat = 4, ntyp = 3
/
ATOMIC_SPECIES
Re 186.21 Re.upf
Sr 87.62 Sr.upf
Ta 180.95 Ta.upf
CELL_PARAMETERS angstrom
6.202 0.012 0.000
3.477 5.136 0.000
-4.840 -2.574 2.901
ATOMIC_POSITIONS crystal
Re 0.750 0.250 0.500
Sr 0.000 0.000 0.000
Sr 0.500 0.500 0.000
Ta 0.250 0.750 0.500
```



Arrangement ii

Entry from Alexandria via LeMat-Bulk: a geometry-optimized Sr2TaRe structure (PBE). Values from VASP.

Properties
Density of states at the Fermi level in states/eV/f.u.: 12.049
Crystal system: cubic

The structure in Quantum ESPRESSO input format:
```
&SYSTEM
  ibrav = 0, nat = 4, ntyp = 3
/
ATOMIC_SPECIES
Re 186.21 Re.upf
Sr 87.62 Sr.upf
Ta 180.95 Ta.upf
CELL_PARAMETERS angstrom
4.616 0.771 2.360
0.166 1.236 5.091
1.775 -3.488 3.487
ATOMIC_POSITIONS crystal
Re 0.500 0.500 0.500
Sr 0.250 0.250 0.250
Sr 0.750 0.750 0.750
Ta 0.000 0.000 0.000
```



Referenced to the most stable arrangement, the calculated values in meV per atom are arrangement i 0; arrangement ii 656.



Arrangement i

Entry from Alexandria via LeMat-Bulk: a geometry-optimized SrTa3Re structure (PBE). Values from VASP.

Properties
Density of states at the Fermi level in states/eV/f.u.: 6.486
Crystal system: cubic

The structure in Quantum ESPRESSO input format:
```
&SYSTEM
  ibrav = 0, nat = 5, ntyp = 3
/
ATOMIC_SPECIES
Re 186.21 Re.upf
Sr 87.62 Sr.upf
Ta 180.95 Ta.upf
CELL_PARAMETERS angstrom
-3.669 -2.494 -2.276
-0.510 -2.912 4.014
-3.337 3.187 1.888
ATOMIC_POSITIONS crystal
Re 0.000 0.000 0.000
Sr 0.500 0.500 0.500
Ta 0.000 0.500 0.000
Ta 0.000 0.000 0.500
Ta 0.500 0.000 0.000
```



Arrangement ii

Entry from Alexandria via LeMat-Bulk: a geometry-optimized SrTa3Re structure (PBE). Values from VASP.

Properties
Density of states at the Fermi level in states/eV/f.u.: 3.762
Crystal system: cubic

The structure in Quantum ESPRESSO input format:
```
&SYSTEM
  ibrav = 0, nat = 5, ntyp = 3
/
ATOMIC_SPECIES
Re 186.21 Re.upf
Sr 87.62 Sr.upf
Ta 180.95 Ta.upf
CELL_PARAMETERS angstrom
-3.569 -1.443 2.741
0.881 -4.482 -1.212
2.970 -0.405 3.654
ATOMIC_POSITIONS crystal
Re 0.500 0.500 0.500
Sr 0.000 0.000 0.000
Ta 0.000 0.500 0.000
Ta 0.000 0.000 0.500
Ta 0.500 0.000 0.000
```



Referenced to the most stable arrangement, the calculated values in meV per atom are arrangement i 0; arrangement ii 2242.